Computed, not measured: a geometry-optimized P2PbBr structure at the PBEsol level of DFT.

Electronic total energy   -0.3237 Ry per atom
Calculated density   5.8 g/cm³
Size of the total moment   0.0 μB per formula unit
Formation energy without anion corrections   -0.0417 eV/atom

Cell: 11.5605 3.3551 5.2480 Å, 90.00 100.18 90.00°
Positions (direct):
P 0.2387 0.0000 0.1294
P 0.2613 0.5000 0.8706
P 0.7387 0.5000 0.1294
P 0.7613 0.0000 0.8706
Pb 0.0000 0.5000 0.0000
Pb 0.5000 0.0000 0.0000
Br 0.0000 0.0000 0.5000
Br 0.5000 0.5000 0.5000

=====

Computed, not measured: a geometry-optimized KCu3 structure at the PBEsol level of DFT.

Electronic total energy   -0.2138 Ry per atom
Calculated density   6.2 g/cm³
Formation energy   0.62 eV/atom
Size of the total moment   0.0 μB per formula unit
Relative energy among the computed polymorphs   0.000 eV per atom

Cell: 2.7812 2.7812 9.2107 Å, 90.00 90.00 120.00°
Positions (direct):
K 0.0000 0.0000 0.0000
Cu 0.0000 0.0000 0.5000
Cu 0.6667 0.3333 0.2954
Cu 0.6667 0.3333 0.7046

=====

Computed, not measured: a geometry-optimized FePOs2 structure at the PBEsol level of DFT.

Electronic total energy   -0.7108 Ry per atom
Calculated density   15.1 g/cm³
Formation energy   0.13 eV/atom
Size of the total moment   2.1 μB per formula unit

Cell: 2.7578 2.7578 23.3854 Å, 90.00 90.00 120.00°
Positions (direct):
Fe 0.0000 0.0000 0.0000
Fe 0.3333 0.6667 0.6667
Fe 0.6667 0.3333 0.3333
P 0.0000 0.0000 0.5000
P 0.3333 0.6667 0.1667
P 0.6667 0.3333 0.8333
Os 0.0000 0.0000 0.2452
Os 0.0000 0.0000 0.7548
Os 0.3333 0.6667 0.4215
Os 0.3333 0.6667 0.9119
Os 0.6667 0.3333 0.0881
Os 0.6667 0.3333 0.5785

=====

Computed, not measured: a geometry-optimized BeTe2O structure at the PBEsol level of DFT.

Electronic total energy   -0.3023 Ry per atom
Calculated density   5.3 g/cm³
Size of the total moment   0.0 μB per formula unit
Formation energy without anion corrections   -0.0383 eV/atom
Relative energy among the computed polymorphs   0.000 eV per atom

Cell: 3.9137 3.9137 19.8346 Å, 90.00 90.00 120.00°
Positions (direct):
Be 0.0000 0.0000 0.0000
Be 0.3333 0.6667 0.6667
Be 0.6667 0.3333 0.3333
Te 0.0000 0.0000 0.3988
Te 0.0000 0.0000 0.6012
Te 0.3333 0.6667 0.0654
Te 0.3333 0.6667 0.2679
Te 0.6667 0.3333 0.7321
Te 0.6667 0.3333 0.9346
O 0.0000 0.0000 0.5000
O 0.3333 0.6667 0.1667
O 0.6667 0.3333 0.8333

=====

Computed, not measured: a geometry-optimized CaV4O9 structure at the PBEsol level of DFT.

Electronic total energy   -0.6424 Ry per atom
Calculated density   3.8 g/cm³
Size of the total moment   4.0 μB per formula unit
Formation energy without anion corrections   -2.4603 eV/atom

Cell: 8.2478 8.2478 5.0121 Å, 90.00 90.00 90.00°
Positions (direct):
Ca 0.2500 0.2500 0.1606
Ca 0.7500 0.7500 0.8394
V 0.0359 0.6592 0.3697
V 0.1592 0.9641 0.6303
V 0.3408 0.5359 0.6303
V 0.4641 0.8408 0.3697
V 0.5359 0.1592 0.6303
V 0.6592 0.4641 0.3697
V 0.8408 0.0359 0.3697
V 0.9641 0.3408 0.6303
O 0.0005 0.3219 0.9464
O 0.9995 0.6781 0.0536
O 0.0425 0.1429 0.4661
O 0.1429 0.4575 0.4661
O 0.1781 0.0005 0.9464
O 0.2500 0.7500 0.5000
O 0.3219 0.4995 0.9464
O 0.3571 0.0425 0.4661
O 0.4575 0.3571 0.4661
O 0.4995 0.1781 0.9464
O 0.5005 0.8219 0.0536
O 0.5425 0.6429 0.5339
O 0.6429 0.9575 0.5339
O 0.6781 0.5005 0.0536
O 0.7500 0.2500 0.5000
O 0.8219 0.9995 0.0536
O 0.8571 0.5425 0.5339
O 0.9575 0.8571 0.5339

=====

Computed, not measured: a geometry-optimized MgZn2Ni structure at the PBEsol level of DFT.

Electronic total energy   -0.2101 Ry per atom
Calculated density   6.4 g/cm³
Formation energy   -0.10 eV/atom
Size of the total moment   0.0 μB per formula unit

Cell: 2.6925 4.1071 5.1582 Å, 90.00 104.05 90.00°
Positions (direct):
Mg 0.0000 0.0000 0.0000
Zn 0.3126 0.5000 0.7249
Zn 0.6874 0.5000 0.2751
Ni 0.5000 0.0000 0.5000